This record from OQMD via LeMat-Bulk describes SrPuHg after structural relaxation. The functional is PBE.

The structure in CIF format:
```
data_SrPuHg
_cell_length_a 7.606
_cell_length_b 7.606
_cell_length_c 7.606
_cell_angle_alpha 90.00
_cell_angle_beta 90.00
_cell_angle_gamma 90.00
_space_group_name_H-M_alt 'F -4 3 m'
_space_group_IT_number 216
_space_group_name_Hall 'F -4 2 3'
loop_
_atom_site_label
_atom_site_type_symbol
_atom_site_fract_x
_atom_site_fract_y
_atom_site_fract_z
_atom_site_occupancy
Sr1 Sr 0.000 0.000 0.000 1
Pu1 Pu 0.000 0.000 0.500 1
Hg1 Hg 0.250 0.250 0.750 1
```

Output
Crystal system = cubic
Energy above the lowest structure with this stoichiometry = 0 kJ/mol of formula units